# 1
Compound: NdCd3Ni
Source: Alexandria
Functional: GGA-PBE
Structure: relaxed

a = 5.497 Å, b = 5.866 Å, c = 6.785 Å
α = 90.00°, β = 91.52°, γ = 90.00°
Atoms (fractional coordinates):
Nd (0.147, 0.250, 0.376)
Nd (0.853, 0.750, 0.624)
Cd (0.101, 0.750, 0.117)
Cd (0.370, 0.004, 0.798)
Cd (0.370, 0.496, 0.798)
Cd (0.630, 0.504, 0.202)
Cd (0.630, 0.996, 0.202)
Cd (0.899, 0.250, 0.883)
Ni (0.345, 0.750, 0.463)
Ni (0.655, 0.250, 0.537)

- Size of the total moment: 0.00 μB per atom
- Energy relative to the elements: -241 meV per atom
- Total DFT energy (no corrections): -2.900 eV per atom

***

# 2
Compound: LiMg2GaCo
Source: Alexandria
Functional: GGA-PBE
Structure: relaxed

a = 4.807 Å, b = 4.807 Å, c = 4.529 Å
α = 90.00°, β = 90.00°, γ = 90.00°
Atoms (fractional coordinates):
Li (0.000, 0.000, 0.000)
Mg (0.000, 0.500, 0.500)
Mg (0.500, 0.000, 0.500)
Ga (0.500, 0.500, 0.000)
Co (0.500, 0.500, 0.500)

- Size of the total moment: 0.00 μB per atom
- Energy relative to the elements: 16 meV per atom
- Total DFT energy (no corrections): -3.031 eV per atom

***

# 3
Compound: Al2ZnHg
Source: Alexandria
Functional: GGA-PBE
Structure: relaxed

a = 5.751 Å, b = 5.751 Å, c = 5.751 Å
α = 42.96°, β = 42.96°, γ = 42.96°
Atoms (fractional coordinates):
Al (0.000, 0.000, 0.000)
Al (0.213, 0.213, 0.213)
Zn (0.610, 0.610, 0.610)
Hg (0.433, 0.433, 0.433)

- Size of the total moment: 0.00 μB per atom
- Offset from the most stable computed form: 0.22 eV/f.u.
- Energy relative to the elements: 153 meV per atom
- Total DFT energy (no corrections): -2.112 eV per atom

***

# 4
Compound: ZrAlGeF2
Source: Alexandria
Functional: GGA-PBE
Structure: relaxed

a = 4.107 Å, b = 4.107 Å, c = 5.947 Å
α = 90.00°, β = 90.00°, γ = 90.00°
Atoms (fractional coordinates):
Zr (0.000, 0.000, 0.000)
Al (0.000, 0.000, 0.500)
Ge (0.500, 0.500, 0.500)
F (0.000, 0.500, 0.000)
F (0.500, 0.000, 0.000)

- ΔE_f (raw): -7.0 eV/f.u.
- Size of the total moment: 0.00 μB per atom
- Total DFT energy (no corrections): -5.540 eV per atom

***

# 5
Compound: TaNiOs2
Source: Alexandria
Functional: GGA-PBE
Structure: relaxed

a = 4.714 Å, b = 4.714 Å, c = 4.714 Å
α = 131.18°, β = 131.18°, γ = 71.53°
Atoms (fractional coordinates):
Ta (0.000, 0.000, 0.000)
Ni (0.500, 0.500, 0.000)
Os (0.250, 0.750, 0.500)
Os (0.750, 0.250, 0.500)

- Size of the total moment: 0.00 μB per atom
- Energy relative to the elements: -52 meV per atom
- Total DFT energy (no corrections): -10.075 eV per atom

***

# 6
Compound: TbVTc
Source: Alexandria
Functional: GGA-PBE
Structure: relaxed

a = 3.946 Å, b = 3.946 Å, c = 4.718 Å
α = 90.00°, β = 90.00°, γ = 120.00°
Atoms (fractional coordinates):
Tb (0.000, 0.000, 0.000)
V (0.667, 0.333, 0.500)
Tc (0.333, 0.667, 0.500)

- Size of the total moment: 0.00 μB per atom
- Offset from the most stable computed form: 0.46 eV/f.u.
- Energy relative to the elements: 163 meV per atom
- Total DFT energy (no corrections): -7.875 eV per atom

***

# 7
Compound: ScHgIO2
Source: Alexandria
Functional: GGA-PBE
Structure: relaxed

a = 4.306 Å, b = 4.306 Å, c = 5.715 Å
α = 90.00°, β = 90.00°, γ = 90.00°
Atoms (fractional coordinates):
Sc (0.000, 0.000, 0.000)
Hg (0.500, 0.500, 0.500)
I (0.500, 0.500, 0.000)
O (0.000, 0.500, 0.500)
O (0.500, 0.000, 0.500)

- ΔE_f (raw): 0.2 eV/f.u.
- Size of the total moment: 0.01 μB per atom
- Offset from the most stable computed form: 6.32 eV/f.u.
- Total DFT energy (no corrections): -3.571 eV per atom

***

# 8
Compound: RbIn3Ru
Source: Alexandria
Functional: GGA-PBE
Structure: relaxed

a = 5.268 Å, b = 5.268 Å, c = 5.268 Å
α = 90.00°, β = 90.00°, γ = 90.00°
Atoms (fractional coordinates):
Rb (0.000, 0.000, 0.000)
In (0.000, 0.500, 0.500)
In (0.500, 0.000, 0.500)
In (0.500, 0.500, 0.000)
Ru (0.500, 0.500, 0.500)

- Size of the total moment: 0.00 μB per atom
- Offset from the most stable computed form: 0.00 eV/f.u.
- Energy relative to the elements: -121 meV per atom
- Total DFT energy (no corrections): -3.813 eV per atom

***

# 9
Compound: ThMg2AlPd4
Source: Alexandria
Functional: GGA-PBE
Structure: relaxed

a = 8.974 Å, b = 8.974 Å, c = 8.974 Å
α = 28.60°, β = 28.60°, γ = 28.60°
Atoms (fractional coordinates):
Th (0.000, 0.000, 0.000)
Mg (0.238, 0.238, 0.238)
Mg (0.762, 0.762, 0.762)
Al (0.500, 0.500, 0.500)
Pd (0.133, 0.133, 0.133)
Pd (0.399, 0.399, 0.399)
Pd (0.601, 0.601, 0.601)
Pd (0.867, 0.867, 0.867)

- Size of the total moment: 0.00 μB per atom
- Energy relative to the elements: -746 meV per atom
- Total DFT energy (no corrections): -5.136 eV per atom

***

# 10
Compound: Ho2ErCo9
Source: Alexandria
Functional: GGA-PBE
Structure: relaxed

a = 8.592 Å, b = 8.592 Å, c = 8.592 Å
α = 33.54°, β = 33.54°, γ = 33.54°
Atoms (fractional coordinates):
Ho (0.140, 0.140, 0.140)
Ho (0.860, 0.860, 0.860)
Er (0.000, 0.000, 0.000)
Co (0.078, 0.583, 0.583)
Co (0.335, 0.335, 0.335)
Co (0.417, 0.417, 0.922)
Co (0.417, 0.922, 0.417)
Co (0.500, 0.500, 0.500)
Co (0.583, 0.078, 0.583)
Co (0.583, 0.583, 0.078)
Co (0.665, 0.665, 0.665)
Co (0.922, 0.417, 0.417)

- Size of the total moment: 0.89 μB per atom
- Energy relative to the elements: -196 meV per atom
- Total DFT energy (no corrections): -6.668 eV per atom

***

# 11
Compound: Mn3ReRu
Source: Alexandria
Functional: GGA-PBE
Structure: relaxed

a = 4.516 Å, b = 4.516 Å, c = 4.516 Å
α = 90.00°, β = 90.00°, γ = 90.00°
Atoms (fractional coordinates):
Mn (0.000, 0.000, 0.500)
Mn (0.000, 0.500, 0.000)
Mn (0.500, 0.000, 0.000)
Re (0.500, 0.500, 0.500)
Ru (0.000, 0.000, 0.000)

- Size of the total moment: 1.63 μB per atom
- Energy relative to the elements: 1723 meV per atom
- Total DFT energy (no corrections): -8.123 eV per atom

***

# 12
Compound: Pm12SiRu6
Source: Alexandria
Functional: GGA-PBE
Structure: relaxed

a = 8.385 Å, b = 8.385 Å, c = 8.385 Å
α = 101.77°, β = 101.77°, γ = 101.77°
Atoms (fractional coordinates):
Pm (0.075, 0.923, 0.671)
Pm (0.077, 0.329, 0.925)
Pm (0.177, 0.556, 0.415)
Pm (0.329, 0.925, 0.077)
Pm (0.415, 0.177, 0.556)
Pm (0.444, 0.585, 0.823)
Pm (0.556, 0.415, 0.177)
Pm (0.585, 0.823, 0.444)
Pm (0.671, 0.075, 0.923)
Pm (0.823, 0.444, 0.585)
Pm (0.923, 0.671, 0.075)
Pm (0.925, 0.077, 0.329)
Si (0.000, 0.000, 0.000)
Ru (0.143, 0.303, 0.610)
Ru (0.303, 0.610, 0.143)
Ru (0.390, 0.857, 0.697)
Ru (0.610, 0.143, 0.303)
Ru (0.697, 0.390, 0.857)
Ru (0.857, 0.697, 0.390)

- ΔE_f (raw): -2.4 eV/f.u.
- Size of the total moment: 0.00 μB per atom
- Total DFT energy (no corrections): -6.339 eV per atom